(1)
PBE UTcOs, relaxed; formation energy from the elements = 140.2 kJ/mol of formula units; space group = F-43m (216); calculated density = 14.5 g/cm³; magnetization = 0.094 μB per atom; electronic total energy = -10.477 eV/atom; energy above the most stable polymorph in this dataset = 0 meV per atom
1.0
0.000 3.115 3.115
3.115 0.000 3.115
3.115 3.115 0.000
Os Tc U
1 1 1
direct
0.000 0.000 0.000 Os
0.250 0.250 0.250 Tc
0.750 0.750 0.750 U

=====

(2)
PBE UTcOs, relaxed; formation energy from the elements = 171.4 kJ/mol of formula units; space group = F-43m (216); calculated density = 14.6 g/cm³; magnetization = 0.000 μB per atom; electronic total energy = -10.369 eV/atom; energy above the most stable polymorph in this dataset = 108 meV per atom
1.0
-3.372 -0.599 2.755
-3.762 2.187 -0.623
-3.590 -2.144 -1.355
Os Tc U
1 1 1
direct
0.250 0.250 0.250 Os
0.750 0.750 0.750 Tc
0.000 0.000 0.000 U

=====

(3)
PBE ZnTcOs2, relaxed; formation energy from the elements = 143.3 kJ/mol of formula units; space group = F-43m (216); calculated density = 15.7 g/cm³; magnetization = 0.002 μB per atom; electronic total energy = -8.148 eV/atom
1.0
-4.073 -1.203 0.851
-3.032 3.000 0.756
-3.122 0.708 -2.918
Os Tc Zn
2 1 1
direct
0.000 0.000 0.000 Os
0.750 0.750 0.750 Os
0.250 0.250 0.250 Tc
0.500 0.500 0.500 Zn

=====

(4)
PBE ZrTcOs, relaxed; formation energy from the elements = 81.3 kJ/mol of formula units; space group = F-43m (216); calculated density = 10.8 g/cm³; magnetization = 0.001 μB per atom; electronic total energy = -9.764 eV/atom; energy above the most stable polymorph in this dataset = 0 meV per atom
1.0
-0.855 -1.025 4.149
-3.864 1.013 1.743
-2.869 -3.149 0.920
Os Tc Zr
1 1 1
direct
0.000 0.000 0.000 Os
0.250 0.250 0.250 Tc
0.750 0.750 0.750 Zr